[1]
Below is RbCu2Hg2 after structural relaxation, with properties calculated at the GGA-PBE level.

## Properties
The calculated formation energy comes out at 0.254 eV/atom. As for the size of the total moment: 0.00 μB/f.u. As for the space-group type: P4/mbm. The theoretical density is 9.11 g/cm³.

The structure in extended XYZ format:
```
10
Lattice="8.665 0.000 0.000 0.000 8.665 0.000 0.000 0.000 2.979" Properties=species:S:1:pos:R:3 pbc="T T T"
Rb 0.000 0.000 0.000
Rb 4.332 4.332 0.000
Cu 1.377 2.955 1.490
Cu 2.955 7.288 1.490
Cu 5.710 1.377 1.490
Cu 7.288 5.710 1.490
Hg 1.142 5.474 0.000
Hg 3.191 1.142 0.000
Hg 5.474 7.523 0.000
Hg 7.523 3.191 0.000
```

***

[2]
Below is RbCu2HgS2 after structural relaxation, with properties calculated at the GGA-PBE level.

## Properties
As for the size of the total moment: 0.00 μB/f.u. For the energy relative to the elements, uncorrected, the calculation gives -392 meV/atom. As for the space-group type: P2_1/m. The theoretical density is 5.16 g/cm³.

The structure in extended XYZ format:
```
12
Lattice="6.631 0.000 0.000 0.000 5.581 0.000 -2.622 0.000 8.303" Properties=species:S:1:pos:R:3 pbc="T T T"
Rb 0.338 1.395 3.136
Rb 3.671 4.185 5.168
Cu -0.181 0.071 6.726
Cu -0.181 2.719 6.726
Cu 4.190 2.861 1.577
Cu 4.190 5.510 1.577
Hg 1.836 4.185 0.793
Hg 2.173 1.395 7.511
S -1.617 1.395 7.700
S 0.455 4.185 5.264
S 3.554 1.395 3.039
S 5.626 4.185 0.604
```

***

[3]
Below is RbScCuHg2 after structural relaxation, with properties calculated at the GGA-PBE level.

## Properties
The calculated formation energy comes out at 0.209 eV/atom. As for the size of the total moment: 0.00 μB/f.u. As for the space-group type: P4/mmm. The theoretical density is 5.78 g/cm³.

The structure in extended XYZ format:
```
5
Lattice="5.718 0.000 0.000 0.000 5.718 0.000 0.000 0.000 5.227" Properties=species:S:1:pos:R:3 pbc="T T T"
Rb 0.000 0.000 0.000
Sc 2.859 2.859 2.614
Cu 2.859 2.859 0.000
Hg 0.000 2.859 2.614
Hg 2.859 0.000 2.614
```

***

[4]
Below is RbCuHgSe after structural relaxation, with properties calculated at the GGA-PBE level.

## Properties
As for the size of the total moment: 0.00 μB/f.u. For the energy relative to the elements, uncorrected, the calculation gives -445 meV/atom. As for the space-group type: P4/nmm. The theoretical density is 6.07 g/cm³.

The structure in extended XYZ format:
```
8
Lattice="4.299 0.000 0.000 0.000 4.299 0.000 0.000 0.000 12.685" Properties=species:S:1:pos:R:3 pbc="T T T"
Rb 1.075 1.075 2.956
Rb 3.224 3.224 9.729
Cu 1.075 3.224 0.000
Cu 3.224 1.075 0.000
Hg 1.075 3.224 6.343
Hg 3.224 1.075 6.343
Se 1.075 1.075 11.332
Se 3.224 3.224 1.353
```

***

[5]
Below is RbCu2HgSe2 after structural relaxation, with properties calculated at the GGA-PBE level.

## Properties
As for the size of the total moment: 0.00 μB/f.u. For the energy relative to the elements, uncorrected, the calculation gives -363 meV/atom. As for the space-group type: P2_1/m. The theoretical density is 5.68 g/cm³.

The structure in extended XYZ format:
```
12
Lattice="6.968 0.000 0.000 0.000 5.610 0.000 -2.859 0.000 8.539" Properties=species:S:1:pos:R:3 pbc="T T T"
Rb 0.234 1.402 3.117
Rb 3.874 4.207 5.421
Cu -0.211 0.082 6.918
Cu -0.211 2.722 6.918
Cu 4.320 2.887 1.620
Cu 4.320 5.527 1.620
Hg 2.037 4.207 0.736
Hg 2.072 1.402 7.802
Se -1.827 1.402 7.941
Se 0.509 4.207 5.326
Se 3.600 1.402 3.212
Se 5.936 4.207 0.597
```

***

[6]
Below is RbCuHgSe2 after structural relaxation, with properties calculated at the GGA-PBE level.

## Properties
As for the size of the total moment: 0.00 μB/f.u. For the energy relative to the elements, uncorrected, the calculation gives -505 meV/atom. As for the space-group type: P2/c. The theoretical density is 5.40 g/cm³.

The structure in extended XYZ format:
```
10
Lattice="7.472 0.000 0.000 0.000 5.730 0.000 -2.015 0.000 7.297" Properties=species:S:1:pos:R:3 pbc="T T T"
Rb -0.504 1.292 1.824
Rb -1.511 4.438 5.473
Cu 3.736 0.000 0.000
Cu 2.728 0.000 3.649
Hg 3.232 2.718 1.824
Hg 2.224 3.011 5.473
Se 0.189 1.609 6.838
Se 1.197 4.121 3.189
Se 4.259 1.609 4.108
Se 5.267 4.121 0.459
```

***

Q: theoretical density of number 2 (RbCu2HgS2)?
A: 5.16 g/cm³